TbV2F8 after structural relaxation, computed with PBE+U.

Calculated values
crystal system: monoclinic
total moment: 5.00 μB per cell
energy above the most stable polymorph in this dataset: 42 meV per atom
space group: C2/m, No. 12

Lattice parameters (Å, degrees): 5.549 5.549 5.342 100.41 100.41 72.38
Positions (direct):
1 Tb 0.000 0.000 0.000
2 V 0.315 0.315 0.532
3 V 0.685 0.685 0.468
4 F 0.044 0.648 0.708
5 F 0.161 0.161 0.759
6 F 0.352 0.956 0.292
7 F 0.445 0.445 0.269
8 F 0.555 0.555 0.731
9 F 0.648 0.044 0.708
10 F 0.839 0.839 0.241
11 F 0.956 0.352 0.292